A plane-wave DFT calculation with PBE-GGA was carried out for a relaxed structure of AuCl2F2.

Unit cell a=5.898 b=5.898 c=6.525 alpha=90.00 beta=90.00 gamma=90.00
Space group P4/mbm (No. 127)
Asymmetric unit:
Au 0.000 0.000 0.000
Cl 0.120 0.380 0.500
F 0.211 0.711 0.000

Output
**Magnetic moment**: 0.0 μB per cell
**Calculated total energy**: -26.2 eV/cell
**ΔE_f (raw)**: -0.47 eV per atom